(1)
CdCuH | the Alexandria database | PBE | optimized geometry; distance to the lowest polymorph of the same formula = 18 kJ/mol of formula units; calculated density = 6.93 g/cm3; symmetry = No. 6
1.0
3.210 0.000 0.000
0.000 2.810 0.000
-1.470 0.000 4.701
Cd Cu H
1 1 1
Direct
0.000 0.000 0.000 Cd
0.667 0.500 0.381 Cu
0.757 0.000 0.575 H

---

(2)
Al2AgGe | the Alexandria database | PBE | optimized geometry; ΔE_f = 1.5 eV/f.u.; calculated density = 3.86 g/cm3; symmetry = No. 166
1.0
1.969 1.137 7.508
-1.969 1.137 7.508
0.000 -2.274 7.508
Al Ag Ge
2 1 1
Direct
0.113 0.113 0.113 Al
0.887 0.887 0.887 Al
0.000 0.000 0.000 Ag
0.500 0.500 0.500 Ge

---

(3)
KHg12Au4 | the Alexandria database | PBE | optimized geometry; ΔE_f = -0.5 eV/f.u.; calculated density = 10.94 g/cm3; symmetry = No. 204
1.0
-4.970 4.970 4.970
4.970 -4.970 4.970
4.970 4.970 -4.970
K Hg Au
1 12 4
Direct
0.000 0.000 0.000 K
0.156 0.348 0.504 Hg
0.156 0.652 0.808 Hg
0.192 0.844 0.348 Hg
0.348 0.192 0.844 Hg
0.348 0.504 0.156 Hg
0.496 0.844 0.652 Hg
0.504 0.156 0.348 Hg
0.652 0.496 0.844 Hg
0.652 0.808 0.156 Hg
0.808 0.156 0.652 Hg
0.844 0.348 0.192 Hg
0.844 0.652 0.496 Hg
0.000 0.000 0.500 Au
0.000 0.500 0.000 Au
0.500 0.000 0.000 Au
0.500 0.500 0.500 Au

---

(4)
Cd2PtSN | the Alexandria database | PBE | optimized geometry; raw formation energy = 3.52 eV per formula unit; calculated density = 8.39 g/cm3; symmetry = No. 123
1.0
5.298 0.000 0.000
0.000 5.298 0.000
0.000 0.000 3.285
Cd Pt S N
2 1 1 1
Direct
0.000 0.500 0.000 Cd
0.500 0.000 0.000 Cd
0.000 0.000 0.500 Pt
0.500 0.500 0.000 S
0.500 0.500 0.500 N

---

(5)
Li5Cd12Ag2 | the Alexandria database | PBE | optimized geometry; ΔE_f = -2.7 eV/f.u.; distance to the lowest polymorph of the same formula = 0 kJ/mol of formula units; calculated density = 6.78 g/cm3; symmetry = No. 12
1.0
6.845 -3.974 0.000
6.845 3.974 0.000
-0.048 0.000 7.199
Li Cd Ag
5 12 2
Direct
0.000 0.000 0.000 Li
0.237 0.237 0.075 Li
0.314 0.314 0.505 Li
0.686 0.686 0.495 Li
0.763 0.763 0.925 Li
0.024 0.656 0.254 Cd
0.096 0.096 0.387 Cd
0.172 0.576 0.841 Cd
0.344 0.976 0.746 Cd
0.424 0.828 0.159 Cd
0.440 0.440 0.176 Cd
0.560 0.560 0.824 Cd
0.576 0.172 0.841 Cd
0.656 0.024 0.254 Cd
0.828 0.424 0.159 Cd
0.904 0.904 0.613 Cd
0.976 0.344 0.746 Cd
0.313 0.687 0.500 Ag
0.687 0.313 0.500 Ag

---

(6)
NaLiSnPb | the Alexandria database | PBE | optimized geometry; ΔE_f = -0.7 eV/f.u.; distance to the lowest polymorph of the same formula = 16 kJ/mol of formula units; calculated density = 6.05 g/cm3; symmetry = No. 216
1.0
0.000 3.655 3.655
3.655 0.000 3.655
3.655 3.655 0.000
Na Li Sn Pb
1 1 1 1
Direct
0.000 0.000 0.000 Na
0.500 0.500 0.500 Li
0.750 0.750 0.750 Sn
0.250 0.250 0.250 Pb